The following is a PBE calculation of a relaxed structure of Tm7Al2Cu2, from the Alexandria database.

```
data_Tm7Al2Cu2
_chemical_formula_sum 'Tm14 Al4 Cu4'
_symmetry_space_group_name_H-M 'C m m m'
_symmetry_Int_Tables_number 65
_symmetry_space_group_name_Hall '-C 2 2'
_cell_length_a 7.743
_cell_length_b 10.837
_cell_length_c 6.831
_cell_angle_alpha 90.00
_cell_angle_beta 90.00
_cell_angle_gamma 90.00
loop_
_atom_site_label
_atom_site_type_symbol
_atom_site_fract_x
_atom_site_fract_y
_atom_site_fract_z
Tm1 Tm 0.000 0.000 0.000
Tm2 Tm 0.000 0.500 0.251
Tm3 Tm 0.250 0.250 0.261
Al1 Al 0.168 0.000 0.500
Cu1 Cu 0.000 0.295 0.000
```

Values from the calculation:
Formation enthalpy at 0 K in eV per atom: -0.037
Raw total energy in eV per atom: -4.3082
D(E_F) in states/eV per atom: 0.913